(A)
Here is a relaxed structure of Y12Er7Sc from the Alexandria database. Energies are from PBE.

Cell lengths 6.1012, 11.2993, 11.2993 Å; angles 116.83, 100.37, 100.37 degrees
Closest atoms and distances in Å follow each position.
Element x y z (fractional)
Y: 0.9259 0.3516 0.3505  4 Er 3.28-3.53, 1 Y 3.33
Y: 0.4257 0.0012 0.3516  4 Er 3.28-3.53, 1 Y 3.33
Y: 0.9144 0.4149 0.8286  3 Y 3.30-3.38, 2 Er 3.31-3.32
Y: 0.5754 0.6495 0.0012  4 Er 3.28-3.53, 1 Y 3.33
Y: 0.4995 0.4136 0.5851  3 Y 3.30-3.38, 2 Er 3.31-3.32
Y: 0.0858 0.1714 0.5864  3 Y 3.30-3.38, 2 Er 3.31-3.32
Y: 0.4246 0.3505 0.9988  4 Er 3.28-3.53, 1 Y 3.33
Y: 0.5743 0.9988 0.6484  4 Er 3.28-3.53, 1 Y 3.33
Y: 0.0741 0.6484 0.6495  4 Er 3.28-3.53, 1 Y 3.33
Y: 0.9142 0.8286 0.4136  3 Y 3.30-3.38, 2 Er 3.31-3.32
Y: 0.0856 0.5851 0.1714  3 Y 3.30-3.38, 2 Er 3.31-3.32
Y: 0.5005 0.5864 0.4149  3 Y 3.30-3.38, 2 Er 3.31-3.32
Er: 0.8867 0.2411 0.9989  1 Sc 2.93, 1 Er 3.27, 1 Y 3.28
Er: 0.8878 0.0011 0.2422  1 Sc 2.93, 1 Er 3.27, 1 Y 3.28
Er: 0.6455 0.7578 0.7589  1 Sc 2.93, 1 Er 3.27, 1 Y 3.28
Er: 0.1122 0.9989 0.7578  1 Sc 2.93, 1 Er 3.27, 1 Y 3.28
Er: 0.5000 0.0000 0.0000  2 Sc 3.05, 6 Er 3.27
Er: 0.3545 0.2422 0.2411  1 Sc 2.93, 1 Er 3.27, 1 Y 3.28
Er: 0.1133 0.7589 0.0011  1 Sc 2.93, 1 Er 3.27, 1 Y 3.28
Sc: 0.0000 0.0000 0.0000  8 Er 2.93-3.05

Output
Total magnetic moment (μB per atom): 0.0000



(B)
Here is a relaxed structure of Y12Er7Sc from the Alexandria database. Energies are from PBE.

Cell lengths 9.2293, 9.2293, 9.2293 Å; angles 107.84, 107.84, 107.84 degrees
Closest atoms and distances in Å follow each position.
Element x y z (fractional)
Y: 0.5978 0.9369 0.7007  4 Er 3.30-3.62, 3 Y 3.32-3.61, 1 Sc 3.63
Y: 0.2092 0.6794 0.3904  4 Er 3.30-3.61, 3 Y 3.32-3.61
Y: 0.3904 0.2092 0.6794  4 Er 3.30-3.61, 3 Y 3.32-3.61
Y: 0.0631 0.2993 0.4022  4 Er 3.30-3.62, 3 Y 3.32-3.61, 1 Sc 3.63
Y: 0.7007 0.5978 0.9369  4 Er 3.30-3.62, 3 Y 3.32-3.61, 1 Sc 3.63
Y: 0.2993 0.4022 0.0631  4 Er 3.30-3.62, 3 Y 3.32-3.61, 1 Sc 3.63
Y: 0.6794 0.3904 0.2092  4 Er 3.30-3.61, 3 Y 3.32-3.61
Y: 0.3206 0.6096 0.7908  4 Er 3.30-3.61, 3 Y 3.32-3.61
Y: 0.4022 0.0631 0.2993  4 Er 3.30-3.62, 3 Y 3.32-3.61, 1 Sc 3.63
Y: 0.7908 0.3206 0.6096  4 Er 3.30-3.61, 3 Y 3.32-3.61
Y: 0.9369 0.7007 0.5978  4 Er 3.30-3.62, 3 Y 3.32-3.61, 1 Sc 3.63
Y: 0.6096 0.7908 0.3206  4 Er 3.30-3.61, 3 Y 3.32-3.61
Er: 0.5000 0.5000 0.5000  12 Y 3.56-3.61
Er: 0.9985 0.9000 0.3124  1 Sc 3.29, 6 Y 3.30-3.62, 3 Er 3.38-3.50
Er: 0.1000 0.6876 0.0015  1 Sc 3.29, 6 Y 3.30-3.62, 3 Er 3.38-3.50
Er: 0.3124 0.9985 0.9000  1 Sc 3.29, 6 Y 3.30-3.62, 3 Er 3.38-3.50
Er: 0.9000 0.3124 0.9985  1 Sc 3.29, 6 Y 3.30-3.62, 3 Er 3.38-3.50
Er: 0.0015 0.1000 0.6876  1 Sc 3.29, 6 Y 3.30-3.62, 3 Er 3.38-3.50
Er: 0.6876 0.0015 0.1000  1 Sc 3.29, 6 Y 3.30-3.62, 3 Er 3.38-3.50
Sc: 0.0000 0.0000 0.0000  6 Er 3.29, 6 Y 3.63

Output
Total magnetic moment (μB per atom): 0.0000



We find (B) to be the most stable, with the next structure 0.058 eV/atom higher.



(A)
Here is a relaxed structure of YEr12Sc7 from the Alexandria database. Energies are from PBE.

Cell lengths 8.9938, 8.9938, 8.9938 Å; angles 108.38, 108.38, 108.38 degrees
Closest atoms and distances in Å follow each position.
Element x y z (fractional)
Sc: 0.8936 0.3162 0.9949  6 Er 3.16-3.52, 3 Sc 3.21-3.47, 1 Y 3.28
Sc: 0.5000 0.5000 0.5000  12 Er 3.42-3.58
Sc: 0.1064 0.6838 0.0051  6 Er 3.16-3.52, 3 Sc 3.21-3.47, 1 Y 3.28
Sc: 0.3162 0.9949 0.8936  6 Er 3.16-3.52, 3 Sc 3.21-3.47, 1 Y 3.28
Sc: 0.0051 0.1064 0.6838  6 Er 3.16-3.52, 3 Sc 3.21-3.47, 1 Y 3.28
Sc: 0.9949 0.8936 0.3162  6 Er 3.16-3.52, 3 Sc 3.21-3.47, 1 Y 3.28
Sc: 0.6838 0.0051 0.1064  6 Er 3.16-3.52, 3 Sc 3.21-3.47, 1 Y 3.28
Er: 0.9327 0.7038 0.5931  4 Sc 3.16-3.52, 3 Er 3.22-3.51, 1 Y 3.51
Er: 0.4069 0.0673 0.2962  4 Sc 3.16-3.52, 3 Er 3.22-3.51, 1 Y 3.51
Er: 0.1991 0.6742 0.3838  3 Sc 3.16-3.38, 3 Er 3.22-3.51
Er: 0.0673 0.2962 0.4069  4 Sc 3.16-3.52, 3 Er 3.22-3.51, 1 Y 3.51
Er: 0.5931 0.9327 0.7038  4 Sc 3.16-3.52, 3 Er 3.22-3.51, 1 Y 3.51
Er: 0.7038 0.5931 0.9327  4 Sc 3.16-3.52, 3 Er 3.22-3.51, 1 Y 3.51
Er: 0.8009 0.3258 0.6162  3 Sc 3.16-3.38, 3 Er 3.22-3.51
Er: 0.3258 0.6162 0.8009  3 Sc 3.16-3.38, 3 Er 3.22-3.51
Er: 0.6162 0.8009 0.3258  3 Sc 3.16-3.38, 3 Er 3.22-3.51
Er: 0.2962 0.4069 0.0673  4 Sc 3.16-3.52, 3 Er 3.22-3.51, 1 Y 3.51
Er: 0.6742 0.3838 0.1991  3 Sc 3.16-3.38, 3 Er 3.22-3.51
Er: 0.3838 0.1991 0.6742  3 Sc 3.16-3.38, 3 Er 3.22-3.51
Y: 0.0000 0.0000 0.0000  6 Sc 3.28, 6 Er 3.51

Output
Total magnetic moment (μB per atom): 0.2626



(B)
Here is a relaxed structure of YEr12Sc7 from the Alexandria database. Energies are from PBE.

Cell lengths 9.4131, 9.4131, 9.4131 Å; angles 109.47, 109.47, 109.47 degrees
Closest atoms and distances in Å follow each position.
Element x y z (fractional)
Er: 0.5203 0.2598 0.2605  2 Sc 2.72
Er: 0.2598 0.2605 0.5203  2 Sc 2.72
Er: 0.7395 0.4797 0.7402  2 Sc 2.72
Er: 0.7402 0.2605 0.0007  2 Sc 2.72
Er: 0.9993 0.2598 0.7395  2 Sc 2.72
Er: 0.2605 0.5203 0.2598  2 Sc 2.72
Er: 0.2605 0.0007 0.7402  2 Sc 2.72
Er: 0.4797 0.7402 0.7395  2 Sc 2.72
Er: 0.7395 0.9993 0.2598  2 Sc 2.72
Er: 0.7402 0.7395 0.4797  2 Sc 2.72
Er: 0.0007 0.7402 0.2605  2 Sc 2.72
Er: 0.2598 0.7395 0.9993  2 Sc 2.72
Sc: 0.5000 0.0000 0.5000  12 Er 3.69-3.85
Sc: 0.0000 0.5000 0.5000  12 Er 3.69-3.85
Sc: 0.5000 0.5000 0.5000  6 Er 2.72
Sc: 0.0000 0.0000 0.5000  6 Er 2.72
Sc: 0.5000 0.0000 0.0000  6 Er 2.72
Sc: 0.0000 0.5000 0.0000  6 Er 2.72
Sc: 0.5000 0.5000 0.0000  12 Er 3.69-3.85
Y: 0.0000 0.0000 0.0000  12 Er 4.00

Output
Total magnetic moment (μB per atom): 0.0017



We find (A) to be the most stable, with the next structure 0.515 eV/atom higher.



(A)
Here is a relaxed structure of YErSc3 from the Alexandria database. Energies are from PBE.

Cell lengths 7.0494, 7.6203, 6.4456 Å; angles 102.99, 123.15, 90.00 degrees
Closest atoms and distances in Å follow each position.
Element x y z (fractional)
Y: 0.6111 0.2209 0.2223  7 Sc 3.33-3.70, 1 Er 3.43, 1 Y 3.57
Y: 0.3889 0.7791 0.7777  7 Sc 3.33-3.70, 1 Er 3.43, 1 Y 3.57
Sc: 0.8454 0.6628 0.2742  4 Sc 2.92-3.27, 1 Er 3.27
Sc: 0.4288 0.6628 0.2742  4 Sc 2.92-3.27, 1 Er 3.27
Sc: 0.1027 0.3821 0.2054  7 Sc 2.92-3.27, 1 Er 3.09
Sc: 0.8973 0.6179 0.7946  7 Sc 2.92-3.27, 1 Er 3.09
Sc: 0.5712 0.3372 0.7258  4 Sc 2.92-3.27, 1 Er 3.27
Sc: 0.1546 0.3372 0.7258  4 Sc 2.92-3.27, 1 Er 3.27
Er: 0.8489 0.9990 0.6977  6 Sc 3.09-3.42, 1 Er 3.26, 1 Y 3.43
Er: 0.1511 0.0010 0.3023  6 Sc 3.09-3.42, 1 Er 3.26, 1 Y 3.43

Output
Total magnetic moment (μB per atom): 0.0000



(B)
Here is a relaxed structure of YErSc3 from the Alexandria database. Energies are from PBE.

Cell lengths 15.0167, 5.3161, 3.4468 Å; angles 90.01, 96.63, 89.95 degrees
Closest atoms and distances in Å follow each position.
Element x y z (fractional)
Sc: 0.1428 0.9487 0.5712  2 Er 3.31-3.32, 6 Y 3.35-3.61, 4 Sc 3.40-3.45
Sc: 0.4715 0.4515 0.2357  10 Sc 3.28-3.45, 2 Er 3.39
Sc: 0.8572 0.4497 0.4288  2 Er 3.31-3.32, 6 Y 3.35-3.61, 4 Sc 3.40-3.45
Sc: 0.6604 0.4507 0.8307  8 Sc 3.30-3.45, 4 Er 3.31
Sc: 0.3396 0.9499 0.1694  8 Sc 3.30-3.45, 4 Er 3.30-3.31
Sc: 0.5285 0.9516 0.7643  10 Sc 3.28-3.45, 2 Er 3.39
Er: 0.2758 0.4495 0.6368  8 Sc 3.30-3.39, 2 Er 3.45, 2 Y 3.53
Er: 0.7242 0.9504 0.3632  8 Sc 3.31-3.39, 2 Er 3.45, 2 Y 3.53
Y: 0.0693 0.4488 0.0332  6 Sc 3.35-3.61, 4 Y 3.37-3.45, 2 Er 3.53
Y: 0.9307 0.9493 0.9667  6 Sc 3.35-3.61, 4 Y 3.37-3.45, 2 Er 3.53

Output
Total magnetic moment (μB per atom): 0.0025



We find (B) to be the most stable, with the next structure 0.167 eV/atom higher.



(A)
Here is a relaxed structure of Y6Er4Sc from the Alexandria database. Energies are from PBE.

Cell lengths 6.4698, 6.4698, 9.6667 Å; angles 109.55, 109.55, 90.00 degrees
Closest atoms and distances in Å follow each position.
Element x y z (fractional)
Y: 0.5000 0.0000 0.0000  2 Sc 3.23, 4 Er 3.27
Y: 0.1418 0.1418 0.6549  5 Er 3.33-3.46, 1 Sc 3.39, 1 Y 3.40
Y: 0.4869 0.8582 0.3451  5 Er 3.33-3.46, 1 Sc 3.39, 1 Y 3.40
Y: 0.5131 0.5131 0.6549  5 Er 3.33-3.46, 1 Sc 3.39, 1 Y 3.40
Y: 0.8582 0.4869 0.3451  5 Er 3.33-3.46, 1 Sc 3.39, 1 Y 3.40
Y: 0.0000 0.5000 0.0000  2 Sc 3.23, 4 Er 3.27
Sc: 0.5000 0.5000 0.0000  8 Y 3.23-3.39
Er: 0.6889 0.0476 0.7365  7 Y 3.27-3.46, 1 Er 3.28
Er: 0.9524 0.9524 0.2635  7 Y 3.27-3.46, 1 Er 3.28
Er: 0.0476 0.6889 0.7365  7 Y 3.27-3.46, 1 Er 3.28
Er: 0.3111 0.3111 0.2635  7 Y 3.27-3.46, 1 Er 3.28

Output
Total magnetic moment (μB per atom): 0.0000



(B)
Here is a relaxed structure of Y6Er4Sc from the Alexandria database. Energies are from PBE.

Cell lengths 5.5900, 5.5570, 25.5265 Å; angles 90.00, 90.00, 120.20 degrees
Closest atoms and distances in Å follow each position.
Element x y z (fractional)
Y: 0.5061 0.0122 0.7500  3 Sc 3.21-3.22, 2 Er 3.28
Y: 0.5000 0.0000 0.5000  8 Er 3.10-3.41
Y: 0.5000 0.0000 0.0000  8 Er 3.10-3.41
Y: 0.4939 0.9878 0.2500  3 Sc 3.21-3.22, 2 Er 3.28
Y: 0.1734 0.3468 0.8940  6 Er 3.24-3.62
Y: 0.8402 0.6804 0.6824  7 Y 3.45-3.77, 4 Er 3.55-3.58, 3 Sc 3.63-3.66
Y: 0.8402 0.6804 0.8176  7 Y 3.45-3.77, 4 Er 3.55-3.58, 3 Sc 3.63-3.66
Y: 0.1598 0.3196 0.3176  7 Y 3.45-3.77, 4 Er 3.55-3.58, 3 Sc 3.63-3.66
Y: 0.1734 0.3468 0.6060  6 Er 3.24-3.62
Y: 0.8266 0.6532 0.3940  6 Er 3.24-3.62
Y: 0.1598 0.3196 0.1824  7 Y 3.45-3.77, 4 Er 3.55-3.58, 3 Sc 3.63-3.66
Y: 0.8266 0.6532 0.1060  6 Er 3.24-3.62
Sc: 0.1723 0.3445 0.7500  3 Y 3.21-3.22
Sc: 0.8277 0.6555 0.2500  3 Y 3.21-3.22
Er: 0.1641 0.3282 0.4572  7 Y 3.39-3.62, 1 Er 3.73
Er: 0.5083 0.0166 0.6213  5 Y 3.10-3.28
Er: 0.4917 0.9834 0.1213  5 Y 3.10-3.28
Er: 0.5083 0.0166 0.8787  5 Y 3.10-3.28
Er: 0.8359 0.6718 0.9572  7 Y 3.39-3.62, 1 Er 3.73
Er: 0.1641 0.3282 0.0428  7 Y 3.39-3.62, 1 Er 3.73
Er: 0.8359 0.6718 0.5428  7 Y 3.39-3.62, 1 Er 3.73
Er: 0.4917 0.9834 0.3787  5 Y 3.10-3.28

Output
Total magnetic moment (μB per atom): 0.0000



We find (B) to be the most stable, with the next structure 0.156 eV/atom higher.